(1)
Mg2TiAl: optimized geometry, PBE.

- Volume: 74.0 Å³/cell
- Spin magnetization: 0.00 Bohr magnetons per cell
- Calculated formation energy: -0.070 eV/atom

Lattice parameters (Å, degrees): 4.399 4.103 4.103 90.00 90.00 90.00
Fractional coordinates of all 4 atoms:
Ti  0.500  0.500  0.500
Mg  0.000  0.500  0.000
Mg  0.000  0.000  0.500
Al  0.500  0.000  0.000

(2)
AsOsPbW2: optimized geometry, PBE.

- Volume: 101.1 Å³/cell
- Spin magnetization: 0.00 Bohr magnetons per cell
- Calculated formation energy: 1.557 eV/atom

Lattice parameters (Å, degrees): 4.699 4.580 4.699 90.00 90.00 90.00
Fractional coordinates of all 5 atoms:
Os  0.000  0.500  0.000
As  0.000  0.000  0.000
W  0.500  0.000  0.000
W  0.000  0.000  0.500
Pb  0.500  0.500  0.500

(3)
NaErSn2: optimized geometry, PBE.

- Volume: 107.5 Å³/cell
- Spin magnetization: 0.00 Bohr magnetons per cell
- Calculated formation energy: -0.391 eV/atom

Lattice parameters (Å, degrees): 3.418 3.418 9.202 90.00 90.00 90.00
Fractional coordinates of all 4 atoms:
Er  0.500  0.500  0.500
Sn  0.000  0.000  0.739
Na  0.500  0.500  0.000
Sn  0.000  0.000  0.261